NiRu2Br (PBE-GGA, optimized geometry); energy above the most stable polymorph in this dataset = 0.285 eV per atom; formation energy (no corrections) = 797 meV per atom; E = -5.705 eV per atom
1.0
-1.3909 -2.3468 0.6962
1.3671 0.1429 -2.4571
7.4244 -3.2308 3.9429
Ru Ni Br
2 1 1
Cartesian
1.7059 -1.8495 0.0318 Ru
7.3674 -3.2060 3.9126 Ru
5.6287 -3.5565 2.1151 Ni
3.8351 -1.6689 2.0367 Br

NiRu2Br (PBE-GGA, optimized geometry); energy above the most stable polymorph in this dataset = 0.396 eV per atom; formation energy (no corrections) = 907 meV per atom; E = -5.594 eV per atom
1.0
-0.1660 2.7893 -0.3165
-1.6423 0.3908 4.3062
4.2599 0.4334 1.5853
Ni Ru Br
1 2 1
Cartesian
1.3088 0.4121 2.9458 Ni
0.0000 0.0000 0.0000 Ru
-0.9042 1.5900 1.9949 Ru
2.0469 1.6113 0.6344 Br

NiRu3Br (PBE-GGA, optimized geometry); energy above the most stable polymorph in this dataset = 0.135 eV per atom; formation energy (no corrections) = 1763 meV per atom; E = -5.294 eV per atom
1.0
4.5163 0.0000 0.0000
0.0000 4.5163 0.0000
0.0000 0.0000 4.5163
Ru Br Ni
3 1 1
Cartesian
0.0000 2.2582 0.0000 Ru
2.2582 0.0000 0.0000 Ru
0.0000 0.0000 2.2582 Ru
0.0000 0.0000 0.0000 Br
2.2582 2.2582 2.2582 Ni

NiRu2Br (PBE-GGA, optimized geometry); energy above the most stable polymorph in this dataset = 0.240 eV per atom; formation energy (no corrections) = 751 meV per atom; E = -5.750 eV per atom
1.0
8.3775 0.0113 0.0067
7.8766 2.8534 0.0067
7.8766 1.3882 2.4930
Ni Ru Br
1 2 1
Cartesian
18.0980 3.1897 1.8797 Ni
0.0880 0.0155 0.0091 Ru
11.9774 2.1110 1.2440 Ru
6.0327 1.0632 0.6266 Br

NiRu2Br (PBE-GGA, optimized geometry); energy above the most stable polymorph in this dataset = 0.120 eV per atom; formation energy (no corrections) = 632 meV per atom; E = -5.869 eV per atom
1.0
4.2785 0.0233 -0.4098
3.3267 2.6906 -0.4098
0.8299 0.2962 6.6578
Ru Ni Br
2 1 1
Cartesian
1.2743 0.4548 6.5328 Ru
6.7726 2.4168 4.9120 Ru
2.6613 0.9497 0.7977 Ni
2.7743 0.9900 3.1725 Br

NiRu2Br (PBE-GGA, optimized geometry); energy above the most stable polymorph in this dataset = 0.312 eV per atom; formation energy (no corrections) = 824 meV per atom; E = -5.677 eV per atom
1.0
-2.9928 -2.7097 3.3499
-0.3059 -5.2133 -0.4992
2.9993 4.2189 0.8521
Ru Ni Br
2 1 1
Cartesian
-0.7965 -1.1664 2.7922 Ru
-3.2751 -7.8662 2.8303 Ru
0.4922 -2.5494 0.9149 Ni
-1.6681 -4.0065 1.4415 Br